Below is an optimized crystal structure of RbUTe4, with properties calculated at the PBE level.

```
12
Lattice="6.889 0.000 0.000 0.000 6.889 0.000 0.000 0.000 9.195" Properties=species:S:1:pos:R:3 pbc="T T T"
Rb 1.722 1.722 0.000
Rb 5.167 5.167 0.000
U 1.722 1.722 4.597
U 5.167 5.167 4.597
Te 0.683 4.127 2.795
Te 0.683 6.206 6.400
Te 2.761 4.127 6.400
Te 2.761 6.206 2.795
Te 4.127 0.683 6.400
Te 4.127 2.761 2.795
Te 6.206 0.683 2.795
Te 6.206 2.761 6.400
```

Summary:
volume: 36.4 Å³/atom
E above lowest polymorph: 0.0 meV per atom
DOS(E_F): 16.52 states/eV per cell
theoretical density: 6.35 g/cm3
E: -57.2 eV/cell

=====

Below is an optimized crystal structure of Rb2UTe6, with properties calculated at the PBE level.

```
9
Lattice="9.108 -4.429 0.000 9.108 4.429 0.000 -0.379 0.000 4.768" Properties=species:S:1:pos:R:3 pbc="T T T"
Rb 3.143 0.000 2.240
Rb 14.694 0.000 2.529
U 9.108 0.000 0.000
Te 6.225 1.367 0.256
Te 8.919 1.947 2.384
Te 6.225 -1.367 0.256
Te 11.612 1.367 4.512
Te 8.919 -1.947 2.384
Te 11.612 -1.367 4.512
```

Summary:
volume: 42.7 Å³/atom
DOS(E_F): 9.21 states/eV per cell
theoretical density: 5.07 g/cm3
E: -36.5 eV/cell

=====

Below is an optimized crystal structure of Rb4UTe5, with properties calculated at the PBE level.

```
10
Lattice="-5.653 5.653 3.612 5.653 -5.653 3.612 5.653 5.653 -3.612" Properties=species:S:1:pos:R:3 pbc="T T T"
Rb 7.882 1.053 0.000
Rb 1.053 3.424 0.000
Rb 4.600 2.229 3.612
Rb -2.229 4.600 3.612
U 0.000 0.000 3.371
Te 0.000 0.000 0.493
Te 4.733 2.904 0.010
Te 2.749 -0.920 3.622
Te 2.904 6.573 0.010
Te 0.920 2.749 3.622
```

Summary:
volume: 46.2 Å³/atom
E above lowest polymorph: 0.0 meV per atom
DOS(E_F): 4.12 states/eV per cell
theoretical density: 4.38 g/cm3
E: -39.2 eV/cell

=====

Below is an optimized crystal structure of Rb2U2VTe6, with properties calculated at the PBE level.

```
11
Lattice="3.722 -6.408 0.000 3.722 6.408 0.000 -2.642 0.000 8.848" Properties=species:S:1:pos:R:3 pbc="T T T"
Rb 3.722 4.202 0.000
Rb 3.722 -4.202 0.000
U 2.401 2.155 4.424
U 2.401 -2.155 4.424
V -1.321 0.000 4.424
Te -0.141 1.986 6.137
Te 1.016 0.000 2.736
Te -0.141 -1.986 6.137
Te 4.943 1.986 2.711
Te 3.786 0.000 6.112
Te 4.943 -1.986 2.711
```

Summary:
volume: 38.4 Å³/atom
DOS(E_F): 13.15 states/eV per cell
theoretical density: 5.76 g/cm3
E: -60.4 eV/cell

=====

Below is an optimized crystal structure of Rb4U3VTe8, with properties calculated at the PBE level.

```
16
Lattice="7.709 -4.471 0.000 7.709 4.471 0.000 -5.117 0.000 8.596" Properties=species:S:1:pos:R:3 pbc="T T T"
Rb 0.000 0.000 0.000
Rb 3.854 2.235 0.000
Rb 3.854 -2.235 0.000
Rb 7.709 0.000 0.000
U -2.559 0.000 4.298
U 1.296 2.235 4.298
U 1.296 -2.235 4.298
V 5.150 0.000 4.298
Te 0.016 0.000 6.063
Te 3.935 2.125 5.969
Te 2.703 0.000 2.634
Te 6.365 2.125 2.627
Te 3.935 -2.125 5.969
Te 7.597 0.000 5.963
Te 6.365 -2.125 2.627
Te 10.284 0.000 2.533
```

Summary:
volume: 37.0 Å³/atom
DOS(E_F): 12.14 states/eV per cell
theoretical density: 5.96 g/cm3
E: -84.3 eV/cell

=====

Below is an optimized crystal structure of Rb3YU2Te6, with properties calculated at the PBE level.

```
12
Lattice="3.928 -6.806 0.000 3.928 6.806 0.000 -2.616 0.000 8.600" Properties=species:S:1:pos:R:3 pbc="T T T"
Rb 0.000 0.000 0.000
Rb 3.928 2.273 0.000
Rb 3.928 -2.273 0.000
Y 2.620 0.000 4.300
U 2.620 4.537 4.300
U 2.620 -4.537 4.300
Te 1.318 2.254 2.566
Te 0.018 0.000 6.034
Te 1.318 -2.254 2.566
Te 3.923 2.254 6.034
Te 5.223 0.000 2.566
Te 3.923 -2.254 6.034
```

Summary:
volume: 38.3 Å³/atom
DOS(E_F): 13.99 states/eV per cell
theoretical density: 5.73 g/cm3
E: -63.0 eV/cell

=====

Below is an optimized crystal structure of Rb3Y2UTe6, with properties calculated at the PBE level.

```
12
Lattice="3.943 -6.831 0.000 3.943 6.831 0.000 -2.629 0.000 8.568" Properties=species:S:1:pos:R:3 pbc="T T T"
Rb 0.000 0.000 0.000
Rb 3.943 2.267 0.000
Rb 3.943 -2.267 0.000
Y 2.629 4.554 4.284
Y 2.629 -4.554 4.284
U 2.629 0.000 4.284
Te 1.299 2.305 2.563
Te -0.031 0.000 6.005
Te 1.299 -2.305 2.563
Te 3.960 2.305 6.006
Te 5.290 0.000 2.563
Te 3.960 -2.305 6.006
```

Summary:
volume: 38.5 Å³/atom
DOS(E_F): 10.47 states/eV per cell
theoretical density: 5.17 g/cm3
E: -60.4 eV/cell

=====

Below is an optimized crystal structure of Rb3Y3UTe8, with properties calculated at the PBE level.

```
15
Lattice="7.752 -4.470 0.000 7.752 4.470 0.000 -5.174 0.000 8.717" Properties=species:S:1:pos:R:3 pbc="T T T"
Rb 0.000 0.000 0.000
Rb 3.876 2.235 0.000
Rb 3.876 -2.235 0.000
Y 1.289 2.235 4.359
Y 1.289 -2.235 4.359
Y 5.164 0.000 4.359
U -2.587 0.000 4.359
Te -0.010 0.000 6.074
Te 3.875 2.240 6.073
Te 2.581 0.000 2.621
Te 6.454 2.240 2.644
Te 3.875 -2.240 6.073
Te 7.747 0.000 6.096
Te 6.454 -2.240 2.644
Te 10.339 0.000 2.644
```

Summary:
volume: 40.3 Å³/atom
DOS(E_F): 5.57 states/eV per cell
theoretical density: 4.90 g/cm3
E: -77.4 eV/cell

=====

Below is an optimized crystal structure of Rb4Y3UTe8, with properties calculated at the PBE level.

```
16
Lattice="4.542 2.622 8.563 -4.542 2.622 8.563 0.000 -5.245 8.563" Properties=species:S:1:pos:R:3 pbc="T T T"
Rb 0.000 0.000 0.000
Rb -2.271 -1.311 8.563
Rb -2.271 1.311 17.125
Rb 0.000 2.622 8.563
Y -4.542 0.000 12.844
Y -2.271 1.311 4.281
Y 2.271 1.311 4.281
U 0.000 0.000 12.844
Te -2.293 -1.324 14.561
Te 0.000 0.000 5.987
Te 0.000 -2.647 11.126
Te -2.293 1.324 11.126
Te 2.293 -1.324 14.561
Te 0.000 2.647 14.561
Te 0.000 0.000 19.700
Te 2.293 1.324 11.126
```

Summary:
volume: 38.2 Å³/atom
DOS(E_F): 11.09 states/eV per cell
theoretical density: 5.07 g/cm3
E: -79.7 eV/cell

=====

Below is an optimized crystal structure of RbUZnTe4, with properties calculated at the PBE level.

```
14
Lattice="7.710 0.000 0.000 0.000 6.362 0.000 -3.139 0.000 9.970" Properties=species:S:1:pos:R:3 pbc="T T T"
Rb 1.646 1.591 0.514
Rb 2.926 4.772 9.456
U 0.312 1.591 5.544
U 4.260 4.772 4.427
Zn 1.072 4.772 3.277
Zn 3.499 1.591 6.693
Te -2.067 3.230 6.980
Te -2.067 6.314 6.980
Te 1.469 4.772 5.870
Te 3.030 4.772 1.617
Te 1.541 1.591 8.353
Te 3.102 1.591 4.101
Te 6.638 0.049 2.990
Te 6.638 3.132 2.990
```

Summary:
volume: 34.9 Å³/atom
DOS(E_F): 14.34 states/eV per cell
theoretical density: 6.11 g/cm3
E: -61.1 eV/cell

=====

Below is an optimized crystal structure of Rb3ZrU2Te6, with properties calculated at the PBE level.

```
12
Lattice="3.826 -6.628 0.000 3.826 6.628 0.000 -2.555 0.000 8.679" Properties=species:S:1:pos:R:3 pbc="T T T"
Rb 0.000 0.000 0.000
Rb 3.826 2.253 0.000
Rb 3.826 -2.253 0.000
Zr 2.548 0.000 4.339
U 2.548 4.424 4.339
U 2.548 -4.424 4.339
Te 1.321 2.129 2.602
Te 0.093 0.000 6.087
Te 1.321 -2.129 2.602
Te 3.776 2.129 6.077
Te 5.004 0.000 2.591
Te 3.776 -2.129 6.077
```

Summary:
volume: 36.7 Å³/atom
DOS(E_F): 11.28 states/eV per cell
theoretical density: 6.00 g/cm3
E: -63.3 eV/cell

=====

Below is an optimized crystal structure of Rb3ZrU3Te8, with properties calculated at the PBE level.

```
15
Lattice="7.605 -4.401 0.000 7.605 4.401 0.000 -5.040 0.000 8.859" Properties=species:S:1:pos:R:3 pbc="T T T"
Rb 0.000 0.000 0.000
Rb 3.802 2.201 0.000
Rb 3.802 -2.201 0.000
Zr -2.520 0.000 4.430
U 1.283 2.201 4.430
U 1.283 -2.201 4.430
U 5.085 0.000 4.430
Te -0.069 0.000 6.158
Te 3.869 2.283 6.166
Te 6.301 2.283 2.693
Te 2.534 0.000 2.606
Te 7.635 0.000 6.253
Te 3.869 -2.283 6.166
Te 6.301 -2.283 2.693
Te 10.239 0.000 2.701
```

Summary:
volume: 39.5 Å³/atom
DOS(E_F): 22.72 states/eV per cell
theoretical density: 5.83 g/cm3
E: -82.9 eV/cell